# Ca2SmPd3, relaxed, DFT PBE
data_Ca2SmPd3
_chemical_formula_sum 'Ca4 Sm2 Pd6'
_symmetry_space_group_name_H-M 'P 1'
_symmetry_Int_Tables_number 1
_cell_length_a 7.8831
_cell_length_b 7.8831
_cell_length_c 7.1926
_cell_angle_alpha 90.00
_cell_angle_beta 90.00
_cell_angle_gamma 142.94
loop_
_symmetry_equiv_pos_as_xyz
'x,y,z'
loop_
_atom_site_label
_atom_site_type_symbol
_atom_site_fract_x
_atom_site_fract_y
_atom_site_fract_z
Ca1 Ca 0.0000 0.0000 0.0000
Ca2 Ca 0.6670 0.3330 0.5000
Ca3 Ca 0.3330 0.6670 0.5000
Ca4 Ca 0.0000 0.0000 0.5000
Sm1 Sm 0.6632 0.3368 0.0000
Sm2 Sm 0.3368 0.6632 0.0000
Pd1 Pd 0.1710 0.8290 0.2363
Pd2 Pd 0.8290 0.1710 0.7637
Pd3 Pd 0.1710 0.8290 0.7637
Pd4 Pd 0.5000 0.5000 0.2480
Pd5 Pd 0.5000 0.5000 0.7520
Pd6 Pd 0.8290 0.1710 0.2363
# Volume ... 22.45 Å³ per atom
# Energy of formation ... -0.742 eV/atom
# Electronic total energy ... -4.79 eV per atom